## BaSr3Ga (GGA-PBE)

Data for a relaxed BaSr3Ga crystal.

```
data_BaSr3Ga
_symmetry_space_group_name_H-M 'C 1 2/m 1'
_symmetry_Int_Tables_number 12
_cell_length_a 13.479
_cell_length_b 5.596
_cell_length_c 13.213
_cell_angle_alpha 90.00
_cell_angle_beta 113.00
_cell_angle_gamma 90.00
loop_
_symmetry_equiv_pos_as_xyz
'x,y,z'
'-x,-y,-z'
'-x,y,-z'
'x,-y,z'
'x+1/2,y+1/2,z'
'-x+1/2,-y+1/2,-z'
'-x+1/2,y+1/2,-z'
'x+1/2,-y+1/2,z'
loop_
_atom_site_label
_atom_site_type_symbol
_atom_site_fract_x
_atom_site_fract_y
_atom_site_fract_z
_atom_site_occupancy
Ba1 Ba 0.126 0.000 0.196 1
Sr1 Sr 0.020 0.500 0.664 1
Sr2 Sr 0.145 0.500 0.970 1
Sr3 Sr 0.175 0.000 0.570 1
Ga1 Ga 0.135 0.000 0.805 1
```

Output
Energy of formation from the pure elements in eV per atom: -0.124
V in A^3/atom: 45.87